Entry P
Entry from the Alexandria database: a geometry-optimized Pb2WCl structure (GGA-PBE).

Values from the calculation:
Mass density in g/cm3: 11.50
Density of states at the Fermi level in states/eV/f.u.: 2.60
Calculated volume in Å³/f.u.: 92

```
data_Pb2WCl
_chemical_formula_sum 'Pb2 W1 Cl1'
_cell_length_a 5.471
_cell_length_b 5.471
_cell_length_c 3.057
_cell_angle_alpha 90.00
_cell_angle_beta 90.00
_cell_angle_gamma 90.00
_space_group_name_H-M_alt 'P 4/m m m'
_space_group_IT_number 123
_space_group_name_Hall '-P 4 2'
loop_
_atom_site_label
_atom_site_type_symbol
_atom_site_fract_x
_atom_site_fract_y
_atom_site_fract_z
Pb1 Pb 0.000 0.500 0.000
W1 W 0.000 0.000 0.500
Cl1 Cl 0.500 0.500 0.500
```

Entry Q
Entry from the Alexandria database: a geometry-optimized Pb2WCl structure (GGA-PBE).

Values from the calculation:
Mass density in g/cm3: 11.38
Density of states at the Fermi level in states/eV/f.u.: 2.74
Calculated volume in Å³/f.u.: 93

```
data_Pb2WCl
_chemical_formula_sum 'Pb2 W1 Cl1'
_cell_length_a 3.104
_cell_length_b 5.196
_cell_length_c 5.844
_cell_angle_alpha 90.00
_cell_angle_beta 101.11
_cell_angle_gamma 90.00
_space_group_name_H-M_alt 'P 1 m 1'
_space_group_IT_number 6
_space_group_name_Hall 'P -2y'
loop_
_atom_site_label
_atom_site_type_symbol
_atom_site_fract_x
_atom_site_fract_y
_atom_site_fract_z
Pb1 Pb 0.000 0.000 0.000
Pb2 Pb 0.376 0.500 0.502
W1 W 0.485 0.500 0.015
Cl1 Cl 0.880 0.000 0.504
```

Verdict on stability: entry P comes out at the bottom.